Entry 1:
Below is crystalline NaTl2Hg at its relaxed geometry, with properties calculated at the GGA-PBE level.

- Formation enthalpy at 0 K: -0.3 eV per formula unit

a = 4.024 Å, b = 4.024 Å, c = 6.988 Å
α = 90.00°, β = 90.00°, γ = 90.00°
Space group P4/mmm (No. 123)
Symmetry-distinct sites (fractional):
Na (0.000, 0.000, 0.000) x1
Tl (0.500, 0.500, 0.263) x2
Hg (0.000, 0.000, 0.500) x1

Entry 2:
Below is crystalline NaTl6Hg at its relaxed geometry, with properties calculated at the GGA-PBE level.

- Formation enthalpy at 0 K: -0.3 eV per formula unit

a = 8.097 Å, b = 10.834 Å, c = 5.418 Å
α = 90.00°, β = 90.00°, γ = 90.00°
Space group Cmmm (No. 65)
Symmetry-distinct sites (fractional):
Na (0.000, 0.000, 0.000) x2
Tl (0.000, 0.226, 0.500) x4
Tl (0.217, 0.500, 0.500) x4
Tl (0.250, 0.250, 0.000) x4
Hg (0.000, 0.500, 0.000) x2

Entry 3:
Below is crystalline Na4Tl4Hg3 at its relaxed geometry, with properties calculated at the GGA-PBE level.

- Formation enthalpy at 0 K: -1.5 eV per formula unit

a = 10.447 Å, b = 3.816 Å, c = 16.055 Å
α = 90.00°, β = 90.00°, γ = 90.00°
Space group Amm2 (No. 38)
Symmetry-distinct sites (fractional):
Na (0.000, 0.000, 0.000) x2
Na (0.244, 0.000, 0.828) x4
Na (0.500, 0.000, 0.017) x2
Tl (0.000, 0.000, 0.700) x2
Tl (0.247, 0.000, 0.146) x4
Tl (0.500, 0.000, 0.696) x2
Hg (0.247, 0.000, 0.483) x4
Hg (0.500, 0.000, 0.361) x2

Entry 4:
Below is crystalline NaTl4Hg12 at its relaxed geometry, with properties calculated at the GGA-PBE level.

- Formation enthalpy at 0 K: -0.5 eV per formula unit

a = 9.918 Å, b = 9.918 Å, c = 9.918 Å
α = 90.00°, β = 90.00°, γ = 90.00°
Space group Im-3m (No. 229)
Symmetry-distinct sites (fractional):
Na (0.000, 0.000, 0.000) x2
Tl (0.250, 0.250, 0.250) x8
Hg (0.000, 0.000, 0.298) x12
Hg (0.000, 0.250, 0.500) x12